DFT (PBE) results for RbH2PtCl8 after structural relaxation.

Output
V	27.98	A^3/atom
ρ	2.80	g cm⁻³
SG	P-1, No. 2
electronic total energy	-3.029	eV per atom

Lattice parameters (Å, degrees): 6.1057 6.6685 9.0327 82.83 80.82 67.98
With the nearest neighbours (Å) after each atom.
Atoms (fractional coordinates):
Rb: 0.0000 0.0000 0.0000  2 H 3.32, 6 Cl 3.41-3.56
H: 0.1780 0.3102 0.1757  1 Cl 1.33
H: 0.8220 0.6898 0.8243  1 Cl 1.33
Pt: 0.0000 0.0000 0.5000  6 Cl 2.33-2.36
Cl: 0.1228 0.7089 0.6824  1 H 2.10
Cl: 0.2719 0.7843 0.3157  1 Pt 2.35
Cl: 0.2741 0.1345 0.5583  1 Pt 2.33
Cl: 0.3245 0.3261 0.0532  1 H 1.33
Cl: 0.6755 0.6739 0.9468  1 H 1.33
Cl: 0.7259 0.8655 0.4417  1 Pt 2.33
Cl: 0.7281 0.2157 0.6843  1 Pt 2.35
Cl: 0.8772 0.2911 0.3176  1 H 2.10

***

DFT (PBE) results for Rb2HPtCl6 after structural relaxation.

Output
V	27.64	A^3/atom
ρ	3.48	g cm⁻³
SG	I4/mmm, No. 139
electronic total energy	-3.273	eV per atom

Lattice parameters (Å, degrees): 7.1465 7.1465 7.1465 113.88 113.88 100.98
With the nearest neighbours (Å) after each atom.
Atoms (fractional coordinates):
Rb: 0.2500 0.7500 0.5000  12 Cl 3.60-3.96
Rb: 0.7500 0.2500 0.5000  12 Cl 3.60-3.96
H: 0.0000 0.0000 0.0000  2 Cl 1.58
Pt: 0.5000 0.5000 0.0000  4 Cl 2.32
Cl: 0.1734 0.1734 0.0000  1 H 1.58
Cl: 0.2892 0.2892 0.5784  1 Pt 2.32
Cl: 0.2892 0.7108 0.0000  1 Pt 2.32
Cl: 0.7108 0.2892 0.0000  1 Pt 2.32
Cl: 0.7108 0.7108 0.4216  1 Pt 2.32
Cl: 0.8266 0.8266 0.0000  1 H 1.58

***

DFT (PBE) results for HPtS2Cl after structural relaxation.

Output
polymorph energy (0 for the lowest one)	8.71	kJ/mol of atoms
V	22.36	A^3/atom
ρ	4.39	g cm⁻³
SG	P4/mmm, No. 123
electronic total energy	-3.065	eV per atom

Lattice parameters (Å, degrees): 4.6491 4.6491 5.1726 90.00 90.00 90.00
With the nearest neighbours (Å) after each atom.
Atoms (fractional coordinates):
H: 0.0000 0.0000 0.0000  4 Cl 3.29, 8 S 3.48
Pt: 0.5000 0.5000 0.5000  4 S 2.32, 2 Cl 2.59
S: 0.0000 0.5000 0.5000  2 Pt 2.32
S: 0.5000 0.0000 0.5000  2 Pt 2.32
Cl: 0.5000 0.5000 0.0000  2 Pt 2.59